Entry 1:
DFT (PBE-GGA) results for NbCoSnHg after structural relaxation.

Output
As for the total moment: 0.004 μB/atom. Its energy above the most stable polymorph in this dataset is 83.4 meV/atom.

Cell: 6.6237 6.6237 6.6237 Å, 90.00 90.00 90.00°
Space group F-43m (No. 216)
Symmetry-distinct sites (fractional):
Nb 0.0000 0.0000 0.0000 [4 per cell]
Co 0.2500 0.2500 0.7500 [4 per cell]
Sn 0.0000 0.0000 0.5000 [4 per cell]
Hg 0.2500 0.2500 0.2500 [4 per cell]

---

Entry 2:
DFT (PBE-GGA) results for Lu3ScSb2C2 after structural relaxation.

Output
As for the total moment: 0.001 μB/atom.

Cell: 3.5305 3.5305 14.6907 Å, 90.00 90.00 120.00°
Space group P3m1 (No. 156)
Symmetry-distinct sites (fractional):
Lu 0.0000 0.0000 0.0000 [1 per cell]
Lu 0.0000 0.0000 0.3323 [1 per cell]
Lu 0.3333 0.6667 0.8258 [1 per cell]
Sc 0.3333 0.6667 0.4994 [1 per cell]
Sb 0.0000 0.0000 0.6582 [1 per cell]
Sb 0.3333 0.6667 0.1663 [1 per cell]
C 0.6667 0.3333 0.4186 [1 per cell]
C 0.6667 0.3333 0.9131 [1 per cell]

---

Entry 3:
DFT (PBE-GGA) results for DyHoIr2 after structural relaxation.

Output
As for the total moment: 0.001 μB/atom. Its energy above the most stable polymorph in this dataset is 0.0 meV/atom. The energy relative to the elements is -0.84 eV per atom.

Cell: 4.7495 4.7495 3.5134 Å, 90.00 90.00 90.00°
Space group P4/mmm (No. 123)
Symmetry-distinct sites (fractional):
Dy 0.0000 0.0000 0.0000 [1 per cell]
Ho 0.5000 0.5000 0.0000 [1 per cell]
Ir 0.0000 0.5000 0.5000 [2 per cell]

---

Entry 4:
DFT (PBE-GGA) results for Lu2Sc4Ge3N3 after structural relaxation.

Output
As for the total moment: 0.000 μB/atom.

Cell: 9.8821 5.7043 14.0397 Å, 90.00 103.60 90.00°
Space group C2/c (No. 15)
Symmetry-distinct sites (fractional):
Lu 0.0489 0.0827 0.3994 [8 per cell]
Sc 0.1123 0.4148 0.5865 [8 per cell]
Sc 0.2219 0.4174 0.9135 [8 per cell]
Ge 0.0000 0.4731 0.2500 [4 per cell]
Ge 0.1946 0.1109 0.7502 [8 per cell]
N 0.0834 0.2501 0.0000 [8 per cell]
N 0.2500 0.2500 0.5000 [4 per cell]

---

Entry 5:
DFT (PBE-GGA) results for PaBeZn after structural relaxation.

Output
As for the total moment: 0.245 μB/atom. Its energy above the most stable polymorph in this dataset is 687.0 meV/atom.

Cell: 6.4644 6.4644 6.4644 Å, 90.00 90.00 90.00°
Space group F-43m (No. 216)
Symmetry-distinct sites (fractional):
Pa 0.0000 0.0000 0.0000 [4 per cell]
Be 0.2500 0.2500 0.7500 [4 per cell]
Zn 0.2500 0.2500 0.2500 [4 per cell]

---

Entry 6:
DFT (PBE-GGA) results for Li4TaAlO6 after structural relaxation.

Output
As for the total moment: 0.000 μB/atom.

Cell: 5.0535 8.7476 5.0678 Å, 90.00 109.48 90.00°
Space group C2 (No. 5)
Symmetry-distinct sites (fractional):
Li 0.0000 0.0000 0.0000 [2 per cell]
Li 0.0000 0.1545 0.5000 [2 per cell]
Li 0.0000 0.5133 0.5000 [2 per cell]
Li 0.0000 0.8391 0.5000 [2 per cell]
Ta 0.0000 0.3335 0.0000 [2 per cell]
Al 0.0000 0.6680 0.0000 [2 per cell]
O 0.2208 0.5055 0.2313 [4 per cell]
O 0.2378 0.6757 0.7728 [4 per cell]
O 0.2472 0.8198 0.2286 [4 per cell]

---

Entry 7:
DFT (PBE-GGA) results for LiInCuRe after structural relaxation.

Output
As for the total moment: 0.452 μB/atom. Its energy above the most stable polymorph in this dataset is 0.0 meV/atom.

Cell: 6.1632 6.1632 6.1632 Å, 90.00 90.00 90.00°
Space group F-43m (No. 216)
Symmetry-distinct sites (fractional):
Li 0.0000 0.0000 0.0000 [4 per cell]
In 0.2500 0.2500 0.2500 [4 per cell]
Cu 0.0000 0.0000 0.5000 [4 per cell]
Re 0.2500 0.2500 0.7500 [4 per cell]

---

Entry 8:
DFT (PBE-GGA) results for PmNpPa after structural relaxation.

Output
As for the total moment: 1.665 μB/atom. The energy relative to the elements is 1.41 eV per atom.

Cell: 6.9216 6.9216 6.9216 Å, 90.00 90.00 90.00°
Space group F-43m (No. 216)
Symmetry-distinct sites (fractional):
Pm 0.0000 0.0000 0.0000 [4 per cell]
Np 0.2500 0.2500 0.7500 [4 per cell]
Pa 0.2500 0.2500 0.2500 [4 per cell]

---

Entry 9:
DFT (PBE-GGA) results for LiAlCuSi after structural relaxation.

Output
Its energy above the most stable polymorph in this dataset is 0.0 meV/atom.

Cell: 6.0312 6.0312 6.0312 Å, 90.00 90.00 90.00°
Space group F-43m (No. 216)
Symmetry-distinct sites (fractional):
Li 0.0000 0.0000 0.0000 [4 per cell]
Al 0.0000 0.0000 0.5000 [4 per cell]
Cu 0.2500 0.2500 0.7500 [4 per cell]
Si 0.2500 0.2500 0.2500 [4 per cell]

---

Entry 10:
DFT (PBE-GGA) results for LaYBi4Au2 after structural relaxation.

Output
As for the total moment: 0.001 μB/atom.

Cell: 4.6543 4.6543 10.0312 Å, 90.00 90.00 90.00°
Space group P4mm (No. 99)
Symmetry-distinct sites (fractional):
La 0.0000 0.0000 0.0000 [1 per cell]
Y 0.5000 0.5000 0.5303 [1 per cell]
Bi 0.0000 0.0000 0.5658 [1 per cell]
Bi 0.0000 0.5000 0.2696 [2 per cell]
Bi 0.5000 0.5000 0.9476 [1 per cell]
Au 0.0000 0.5000 0.7535 [2 per cell]

---

Entry 11:
DFT (PBE-GGA) results for Nb3SI4Br3 after structural relaxation.

Output
As for the total moment: 0.000 μB/atom.

Cell: 7.5173 7.5173 6.9389 Å, 90.00 90.00 120.00°
Space group P3m1 (No. 156)
Symmetry-distinct sites (fractional):
Nb 0.2033 0.4066 0.0000 [3 per cell]
S 0.3333 0.6667 0.7510 [1 per cell]
I 0.0000 0.0000 0.2163 [1 per cell]
I 0.3381 0.1691 0.7723 [3 per cell]
Br 0.0060 0.5030 0.2445 [3 per cell]

---

Entry 12:
DFT (PBE-GGA) results for InFeCuPd after structural relaxation.

Output
As for the total moment: 0.781 μB/atom. Its energy above the most stable polymorph in this dataset is 0.0 meV/atom.

Cell: 6.2540 6.2540 6.2540 Å, 90.00 90.00 90.00°
Space group F-43m (No. 216)
Symmetry-distinct sites (fractional):
In 0.0000 0.0000 0.0000 [4 per cell]
Fe 0.0000 0.0000 0.5000 [4 per cell]
Cu 0.2500 0.2500 0.2500 [4 per cell]
Pd 0.2500 0.2500 0.7500 [4 per cell]

---

Entry 13:
DFT (PBE-GGA) results for GdLuPu after structural relaxation.

Output
As for the total moment: 2.201 μB/atom. The energy relative to the elements is 0.83 eV per atom.

Cell: 7.2685 7.2685 7.2685 Å, 90.00 90.00 90.00°
Space group F-43m (No. 216)
Symmetry-distinct sites (fractional):
Gd 0.0000 0.0000 0.0000 [4 per cell]
Lu 0.0000 0.0000 0.5000 [4 per cell]
Pu 0.2500 0.2500 0.2500 [4 per cell]

---

Entry 14:
DFT (PBE-GGA) results for GdTmGe4Pd2 after structural relaxation.

Output
As for the total moment: 0.002 μB/atom.

Cell: 4.3500 4.0021 18.1263 Å, 90.00 90.00 90.00°
Space group Amm2 (No. 38)
Symmetry-distinct sites (fractional):
Gd 0.0000 0.0000 0.0000 [2 per cell]
Tm 0.5000 0.0000 0.7947 [2 per cell]
Ge 0.0000 0.0000 0.3629 [2 per cell]
Ge 0.0000 0.0000 0.6421 [2 per cell]
Ge 0.5000 0.0000 0.1531 [2 per cell]
Ge 0.5000 0.0000 0.4303 [2 per cell]
Pd 0.0000 0.0000 0.2293 [2 per cell]
Pd 0.5000 0.0000 0.5652 [2 per cell]

---

Entry 15:
DFT (PBE-GGA) results for RbTbTmTe3 after structural relaxation.

Output
As for the total moment: 0.007 μB/atom. Its energy above the most stable polymorph in this dataset is 0.0 meV/atom.

Cell: 4.6667 16.8581 11.8867 Å, 90.00 90.00 90.00°
Space group Cmcm (No. 63)
Symmetry-distinct sites (fractional):
Rb 0.0000 0.2448 0.2500 [4 per cell]
Tb 0.0000 0.5000 0.0000 [4 per cell]
Tm 0.0000 0.0354 0.7500 [4 per cell]
Te 0.0000 0.1265 0.5452 [8 per cell]
Te 0.0000 0.4318 0.7500 [4 per cell]

---

Entry 16:
DFT (PBE-GGA) results for Nd3Cu4Sn2Ge2 after structural relaxation.

Output
As for the total moment: 0.000 μB/atom. Its energy above the most stable polymorph in this dataset is 81.7 meV/atom.

Cell: 4.4097 7.0213 14.6904 Å, 90.00 90.00 90.00°
Space group Immm (No. 71)
Symmetry-distinct sites (fractional):
Nd 0.0000 0.0000 0.0000 [2 per cell]
Nd 0.0000 0.5000 0.1377 [4 per cell]
Cu 0.0000 0.3175 0.3273 [8 per cell]
Sn 0.0000 0.1991 0.5000 [4 per cell]
Ge 0.0000 0.0000 0.2160 [4 per cell]

---

Entry 17:
DFT (PBE-GGA) results for Sm2Ho2CI3Br2 after structural relaxation.

Output
As for the total moment: 0.023 μB/atom. Its energy above the most stable polymorph in this dataset is 13.8 meV/atom.

Cell: 18.2385 3.9343 8.5724 Å, 90.00 102.82 90.00°
Space group C2/m (No. 12)
Symmetry-distinct sites (fractional):
Sm 0.1393 0.0000 0.0660 [4 per cell]
Ho 0.0017 0.5000 0.8118 [4 per cell]
C 0.0000 0.0000 0.0000 [2 per cell]
I 0.0000 0.0000 0.5000 [2 per cell]
I 0.1666 0.5000 0.3511 [4 per cell]
Br 0.1660 0.5000 0.8257 [4 per cell]

---

Entry 18:
DFT (PBE-GGA) results for Dy2YHoPd4 after structural relaxation.

Output
As for the total moment: 0.001 μB/atom. The energy relative to the elements is -0.90 eV per atom.

Cell: 4.9425 4.9425 6.9813 Å, 90.00 90.00 90.00°
Space group P4/mmm (No. 123)
Symmetry-distinct sites (fractional):
Dy 0.0000 0.0000 0.0000 [1 per cell]
Dy 0.5000 0.5000 0.5000 [1 per cell]
Y 0.0000 0.0000 0.5000 [1 per cell]
Ho 0.5000 0.5000 0.0000 [1 per cell]
Pd 0.0000 0.5000 0.2491 [4 per cell]

---

Entry 19:
DFT (PBE-GGA) results for Dy2Er3Lu2Te2Pd2 after structural relaxation.

Output
As for the total moment: 0.000 μB/atom. Its energy above the most stable polymorph in this dataset is 19.7 meV/atom.

Cell: 3.9047 15.5488 9.5893 Å, 90.00 90.00 90.00°
Space group Imm2 (No. 44)
Symmetry-distinct sites (fractional):
Dy 0.0000 0.1829 0.0000 [4 per cell]
Er 0.0000 0.3705 0.2077 [4 per cell]
Er 0.0000 0.5000 0.6262 [2 per cell]
Lu 0.0000 0.1428 0.3585 [4 per cell]
Te 0.0000 0.0000 0.8600 [2 per cell]
Te 0.0000 0.5000 0.9630 [2 per cell]
Pd 0.0000 0.2647 0.6995 [4 per cell]

---

Entry 20:
DFT (PBE-GGA) results for Sm3ThBi4 after structural relaxation.

Output
As for the total moment: 0.001 μB/atom.

Cell: 9.1146 12.8942 4.5685 Å, 90.00 90.00 90.00°
Space group Cmmm (No. 65)
Symmetry-distinct sites (fractional):
Sm 0.0000 0.0000 0.0000 [2 per cell]
Sm 0.2500 0.2500 0.5000 [4 per cell]
Th 0.0000 0.5000 0.0000 [2 per cell]
Bi 0.0000 0.2495 0.0000 [4 per cell]
Bi 0.2481 0.0000 0.5000 [4 per cell]

---

Q: Which electronic total energy values were calculated for the entries above? A: -78.36 -52.25 -30.24 -354.88 -46.06 -167.04 -74.78 -91.16 -59.94 -38.83 -54.20 -80.19 -83.23 -87.25 -106.99 -104.16 -96.05 -48.13 -115.53 -89.36, in eV per cell.